1.
# Pr5Cd2Sn2

A relaxed Pr5Cd2Sn2 crystal (GGA-PBE, Alexandria).

Computed properties:
Energy relative to the elements ... -441 meV/atom
E ... -37.70 eV per formula unit
Total magnetic moment ... 0.00 Bohr magnetons per cell
Fermi-level density of states ... 19.88 states/eV per cell

Cell lengths 8.3647, 8.3466, 9.3065 Å; angles 116.64, 90.00, 90.00 degrees
Closest atoms and distances in Å follow each position.
Fractional coordinates of all 18 atoms:
1 Sn 0.5000 0.2967 0.5934  7 Pr 3.22-3.38
2 Sn 0.5000 0.7033 0.4066  7 Pr 3.22-3.38
3 Sn 0.0000 0.7967 0.5934  7 Pr 3.22-3.38
4 Sn 0.0000 0.2033 0.4066  7 Pr 3.22-3.38
5 Cd 0.6246 0.8777 0.0000  1 Cd 2.92
6 Cd 0.3754 0.1223 0.0000  1 Cd 2.92
7 Cd 0.8754 0.3777 0.0000  1 Cd 2.92
8 Cd 0.1246 0.6223 0.0000  1 Cd 2.92
9 Pr 0.8288 0.8192 0.2892  3 Sn 3.22-3.26, 3 Cd 3.40-3.48
10 Pr 0.6712 0.3192 0.2892  3 Sn 3.22-3.26, 3 Cd 3.40-3.48
11 Pr 0.3288 0.6808 0.7108  3 Sn 3.22-3.26, 3 Cd 3.40-3.48
12 Pr 0.1712 0.4701 0.2892  3 Sn 3.22-3.26, 3 Cd 3.40-3.48
13 Pr 0.3288 0.9701 0.2892  3 Sn 3.22-3.26, 3 Cd 3.40-3.48
14 Pr 0.1712 0.1808 0.7108  3 Sn 3.22-3.26, 3 Cd 3.40-3.48
15 Pr 0.0000 0.0000 0.0000  4 Cd 3.30-3.32, 2 Sn 3.38
16 Pr 0.6712 0.0299 0.7108  3 Sn 3.22-3.26, 3 Cd 3.40-3.48
17 Pr 0.8288 0.5299 0.7108  3 Sn 3.22-3.26, 3 Cd 3.40-3.48
18 Pr 0.5000 0.5000 0.0000  4 Cd 3.30-3.32, 2 Sn 3.38

=====

2.
# BeV2GaTe

A relaxed BeV2GaTe crystal (GGA-PBE, Alexandria).

Computed properties:
E_form (uncorrected) ... 1.528 eV/atom
E ... -20.49 eV per formula unit
Total magnetic moment ... 5.99 Bohr magnetons per cell
Fermi-level density of states ... 6.15 states/eV per cell

Cell lengths 5.0312, 5.3265, 5.0312 Å; angles 90.00, 90.00, 90.00 degrees
Closest atoms and distances in Å follow each position.
Fractional coordinates of all 5 atoms:
1 V 0.5000 0.0000 0.0000  2 Te 2.52
2 V 0.0000 0.0000 0.5000  2 Te 2.52
3 Te 0.0000 0.0000 0.0000  4 V 2.52, 2 Ga 2.66
4 Be 0.5000 0.5000 0.5000  4 Ga 3.56, 8 V 3.66
5 Ga 0.0000 0.5000 0.0000  2 Te 2.66

=====

3.
# Ag2PbN

A relaxed Ag2PbN crystal (GGA-PBE, Alexandria).

Computed properties:
E_form (uncorrected) ... 0.781 eV/atom
E ... -14.61 eV per formula unit
Total magnetic moment ... 0.00 Bohr magnetons per cell
Fermi-level density of states ... 3.05 states/eV per cell

Cell lengths 5.5436, 5.5436, 7.1876 Å; angles 67.32, 67.32, 90.00 degrees
Closest atoms and distances in Å follow each position.
Fractional coordinates of all 8 atoms:
1 Ag 0.3775 0.1250 0.2500  2 N 2.05
2 Ag 0.8750 0.6275 0.7500  2 N 2.05
3 Ag 0.3725 0.6250 0.2500  2 N 2.05
4 Ag 0.3750 0.6225 0.7500  2 N 2.05
5 N 0.5000 0.5000 0.0000  4 Ag 2.05
6 N 0.2500 0.7500 0.5000  4 Ag 2.05
7 Pb 0.0000 0.0000 0.0000  8 Ag 3.43-3.46
8 Pb 0.7500 0.2500 0.5000  8 Ag 3.43-3.46

=====

4.
# TmCuHRh2

A relaxed TmCuHRh2 crystal (GGA-PBE, Alexandria).

Computed properties:
E ... -29.13 eV per formula unit
Total magnetic moment ... 0.00 Bohr magnetons per cell
Fermi-level density of states ... 4.07 states/eV per cell

Cell lengths 3.8626, 4.1142, 4.1142 Å; angles 90.00, 90.00, 90.00 degrees
Closest atoms and distances in Å follow each position.
Fractional coordinates of all 5 atoms:
1 Rh 0.0000 0.5000 0.0000  2 H 2.06
2 Rh 0.0000 0.0000 0.5000  2 H 2.06
3 Tm 0.5000 0.5000 0.5000  8 Rh 2.82, 4 Cu 2.91
4 H 0.0000 0.0000 0.0000  2 Cu 1.93, 4 Rh 2.06
5 Cu 0.5000 0.0000 0.0000  2 H 1.93